[1]
Compound: LiMgP
Source: Alexandria via LeMat-Bulk
Functional: PBE
Structure: relaxed

abc: 3.1592 3.1592 6.4220
angles: 90.00 90.00 120.00
Closest atoms and distances in Å follow each position.
Fractional coordinates of all 3 atoms:
1 Li 0.0000 0.0000 0.9527  3 P 2.56
2 Mg 0.6667 0.3333 0.3733  3 P 2.66
3 P 0.3333 0.6667 0.6740  3 Li 2.56, 3 Mg 2.66

Properties
Space-group type   P3m1
Calculated formation energy   -0.08 eV/atom
Total energy   -9.15 eV per cell



[2]
Compound: PuCd2PtO6
Source: Alexandria via LeMat-Bulk
Functional: PBE
Structure: relaxed

abc: 5.0295 5.6857 6.1876
angles: 117.35 111.36 90.00
Closest atoms and distances in Å follow each position.
Fractional coordinates of all 10 atoms:
1 Pu 0.0000 0.5000 0.0000  2 O 1.90
2 Cd 0.1899 0.2356 0.4712  5 O 2.20-2.43
3 Cd 0.8101 0.7644 0.5288  5 O 2.20-2.43
4 Pt 0.5000 0.0000 0.0000  4 O 2.02
5 O 0.3315 0.6662 0.3323  1 Pu 1.90
6 O 0.1805 0.1410 0.8130  1 Pt 2.02, 1 Pu 2.22
7 O 0.8195 0.3280 0.1870  1 Pt 2.02, 1 Pu 2.22
8 O 0.1805 0.6720 0.8130  1 Pt 2.02, 1 Pu 2.22
9 O 0.8195 0.8590 0.1870  1 Pt 2.02, 1 Pu 2.22
10 O 0.6685 0.3338 0.6677  1 Pu 1.90

Properties
Uncorrected formation energy   -1.503 eV per atom
Space-group type   C2/m
Total energy   -66.98 eV per cell



[3]
Compound: Y5Hg2Ru
Source: Alexandria via LeMat-Bulk
Functional: PBE
Structure: relaxed

abc: 4.8740 7.2998 11.9682
angles: 90.00 90.00 90.00
Closest atoms and distances in Å follow each position.
Fractional coordinates of all 16 atoms:
1 Y 0.0000 0.0000 0.5000  4 Hg 3.16, 4 Y 3.53
2 Y 0.0000 0.5000 0.0000  4 Hg 3.16, 4 Y 3.53
3 Y 0.0000 0.8579 0.2050  1 Ru 2.66
4 Y 0.0000 0.1421 0.7950  1 Ru 2.66
5 Y 0.0000 0.6421 0.7050  1 Ru 2.66
6 Y 0.0000 0.3579 0.2950  1 Ru 2.66
7 Y 0.5000 0.6771 0.4170  2 Ru 2.93, 2 Hg 3.09-3.14, 1 Y 3.26
8 Y 0.5000 0.3229 0.5830  2 Ru 2.93, 2 Hg 3.09-3.14, 1 Y 3.26
9 Y 0.5000 0.8229 0.9170  2 Ru 2.93, 2 Hg 3.09-3.14, 1 Y 3.26
10 Y 0.5000 0.1771 0.0830  2 Ru 2.93, 2 Hg 3.09-3.14, 1 Y 3.26
11 Hg 0.5000 0.5801 0.1614  9 Y 3.09-3.42
12 Hg 0.5000 0.4199 0.8386  9 Y 3.09-3.42
13 Hg 0.5000 0.9199 0.6614  9 Y 3.09-3.42
14 Hg 0.5000 0.0801 0.3386  9 Y 3.09-3.42
15 Ru 0.0000 0.5000 0.5000  6 Y 2.66-2.93
16 Ru 0.0000 0.0000 0.0000  6 Y 2.66-2.93

Properties
Space-group type   Pbam
Calculated formation energy   -0.40 eV/atom
Total energy   -90.86 eV per cell



[4]
Compound: VHgTe2
Source: Alexandria via LeMat-Bulk
Functional: PBE
Structure: relaxed

abc: 5.6736 8.4589 8.4589
angles: 39.65 99.67 80.33
Closest atoms and distances in Å follow each position.
Fractional coordinates of all 8 atoms:
1 Te 0.0936 0.2186 0.0430  2 V 2.68
2 Te 0.4064 0.5430 0.7186  2 V 2.68
3 Te 0.9064 0.7814 0.9570  2 V 2.68
4 Te 0.5936 0.4570 0.2814  2 V 2.68
5 Hg 0.7500 0.8053 0.3053  4 V 2.97-3.00
6 Hg 0.2500 0.1947 0.6947  4 V 2.97-3.00
7 V 0.7500 0.2502 0.7502  4 Te 2.68, 2 V 2.87, 4 Hg 2.97-3.00
8 V 0.2500 0.7498 0.2498  4 Te 2.68, 2 V 2.87, 4 Hg 2.97-3.00

Properties
Uncorrected formation energy   -0.105 eV per atom
Space-group type   C2/c
Total energy   -32.25 eV per cell